First-principles (GGA-PBE) data for a geometry-optimized SrYCo2 structure, as listed in Alexandria via LeMat-Bulk.

Cell: 4.917 4.917 4.917 Å, 60.00 60.00 60.00°
Each line ends with the local moment (μB).
Fractional coordinates of all 4 atoms:
1 Co 0.750 0.750 0.750  1.04
2 Co 0.250 0.250 0.250  1.04
3 Sr 0.000 0.000 0.000  -0.09
4 Y 0.500 0.500 0.500  -0.28

Calculated values
* polymorph energy (0 for the lowest one): 1.58 eV/f.u.
* Fermi-level density of states: 1.780 states/eV per atom
* magnetization: 1.2 μB per cell
* calculated density: 5817 kg/m3
* energy of formation: 0.369 eV/atom